1.
The following is a PBE calculation of crystalline Cs2BiSI6 at its relaxed geometry, from Alexandria.

Values from the calculation:
The calculation puts the density of states at the Fermi level at 0.46 states/eV per atom. The value obtained for the mass density is 4.663 g/cm³. The total magnetization is 0.00 μB per formula unit. As for the energy relative to the elements, uncorrected: -0.650 eV per atom. The crystal system is tetragonal. Its total energy is -51.04 eV/cell.

Unit cell a=8.756 b=8.756 c=11.782 alpha=90.00 beta=90.00 gamma=90.00
Space group I4/mmm (No. 139)
One atom of each set of equivalent atoms:
Cs: 0.000 0.500 0.250
Bi: 0.000 0.000 0.000
S: 0.000 0.000 0.500
I: 0.000 0.000 0.264
I: 0.250 0.250 0.000

---

2.
The following is a PBE calculation of crystalline CsBiSI2 at its relaxed geometry, from Alexandria.

Values from the calculation:
The calculation puts the density of states at the Fermi level at 0.17 states/eV per atom. The value obtained for the mass density is 4.803 g/cm³. The total magnetization is 0.00 μB per formula unit. As for the energy relative to the elements, uncorrected: -0.698 eV per atom. The crystal system is tetragonal. Its total energy is -15.45 eV/cell.

Unit cell a=6.374 b=6.374 c=5.342 alpha=90.00 beta=90.00 gamma=90.00
Space group P4/mmm (No. 123)
One atom of each set of equivalent atoms:
Cs: 0.000 0.000 0.000
Bi: 0.500 0.500 0.500
S: 0.500 0.500 0.000
I: 0.000 0.500 0.500

---

3.
The following is a PBE calculation of crystalline CsBiSbI6 at its relaxed geometry, from Alexandria.

Values from the calculation:
The calculation puts the density of states at the Fermi level at 0.35 states/eV per atom. The value obtained for the mass density is 4.044 g/cm³. The total magnetization is 0.00 μB per formula unit. As for the energy relative to the elements, uncorrected: -0.560 eV per atom. The crystal system is monoclinic. Its total energy is -46.40 eV/cell.

Unit cell a=8.687 b=13.708 c=8.469 alpha=90.00 beta=94.10 gamma=90.00
Space group C2 (No. 5)
One atom of each set of equivalent atoms:
Cs: 0.000 0.000 0.000
Bi: 0.000 0.329 0.500
Sb: 0.000 0.675 0.500
I: 0.128 0.504 0.718
I: 0.180 0.187 0.710
I: 0.180 0.817 0.700

---

4.
The following is a PBE calculation of crystalline CsBiSbI2 at its relaxed geometry, from Alexandria.

Values from the calculation:
The calculation puts the density of states at the Fermi level at 0.70 states/eV per atom. The value obtained for the mass density is 4.811 g/cm³. The total magnetization is 0.77 μB per formula unit. As for the energy relative to the elements, uncorrected: -0.373 eV per atom. The crystal system is tetragonal. Its total energy is -13.82 eV/cell.

Unit cell a=6.482 b=6.482 c=5.894 alpha=90.00 beta=90.00 gamma=90.00
Space group P4/mmm (No. 123)
One atom of each set of equivalent atoms:
Cs: 0.000 0.000 0.000
Bi: 0.500 0.500 0.500
Sb: 0.500 0.500 0.000
I: 0.000 0.500 0.500

---

5.
The following is a PBE calculation of crystalline CsBiSbI2 at its relaxed geometry, from Alexandria.

Values from the calculation:
The calculation puts the density of states at the Fermi level at 2.51 states/eV per atom. The value obtained for the mass density is 2.979 g/cm³. The total magnetization is 4.92 μB per formula unit. As for the energy relative to the elements, uncorrected: 0.639 eV per atom. The crystal system is tetragonal. Its total energy is -8.76 eV/cell.

Unit cell a=7.342 b=7.342 c=7.417 alpha=90.00 beta=90.00 gamma=90.00
Space group P4/mmm (No. 123)
One atom of each set of equivalent atoms:
Cs: 0.000 0.000 0.000
Bi: 0.500 0.500 0.500
Sb: 0.000 0.000 0.500
I: 0.000 0.500 0.000

---

6.
The following is a PBE calculation of crystalline CsScBiI6 at its relaxed geometry, from Alexandria.

Values from the calculation:
The value obtained for the mass density is 3.970 g/cm³. The total magnetization is 1.01 μB per formula unit. As for the energy relative to the elements, uncorrected: -0.943 eV per atom. The crystal system is monoclinic. Its total energy is -57.70 eV/cell.

Unit cell a=8.710 b=13.403 c=8.250 alpha=90.00 beta=94.11 gamma=90.00
Space group C2 (No. 5)
One atom of each set of equivalent atoms:
Cs: 0.000 0.000 0.000
Sc: 0.000 0.660 0.500
Bi: 0.000 0.315 0.500
I: 0.120 0.494 0.714
I: 0.149 0.792 0.723
I: 0.216 0.160 0.684

---

> Number 6 is which compound?

CsScBiI6

---

> Which value of energy relative to the elements, uncorrected does entry 3 give?

-0.560 eV per atom

---

> Which of these has the lowest energy relative to the elements, uncorrected?

CsScBiI6